First-principles (PBE) data for a geometry-optimized CaSeN2 structure, as listed in Alexandria via LeMat-Bulk.

```
CaSeN2
1.0
5.660 0.000 0.000
0.000 4.879 0.000
-2.790 0.000 9.213
Ca Se N
2 2 4
direct
0.220 0.250 0.439
0.780 0.750 0.561
0.302 0.750 0.605
0.698 0.250 0.395
0.088 0.636 0.172
0.088 0.864 0.172
0.912 0.136 0.828
0.912 0.364 0.828
```

Computed properties:
The space group is P2_1/m (11). The calculation puts the uncorrected formation energy at -0.83 eV per atom.



First-principles (PBE) data for a geometry-optimized LiTmCuPb structure, as listed in Alexandria via LeMat-Bulk.

```
LiTmCuPb
1.0
6.772 0.000 0.000
0.000 6.772 0.000
0.000 0.000 6.772
Li Tm Cu Pb
4 4 4 4
direct
0.000 0.000 0.000
0.000 0.500 0.500
0.500 0.000 0.500
0.500 0.500 0.000
0.250 0.250 0.750
0.250 0.750 0.250
0.750 0.250 0.250
0.750 0.750 0.750
0.000 0.000 0.500
0.000 0.500 0.000
0.500 0.000 0.000
0.500 0.500 0.500
0.250 0.250 0.250
0.250 0.750 0.750
0.750 0.250 0.750
0.750 0.750 0.250
```

Computed properties:
The space group is F-43m (216). The formation energy from the elements is -80.9 kJ/mol of formula units.



First-principles (PBE) data for a geometry-optimized ZrTcSb2 structure, as listed in Alexandria via LeMat-Bulk.

```
ZrTcSb2
1.0
3.327 0.000 0.000
0.000 4.178 0.000
0.000 0.000 12.357
Zr Tc Sb
2 2 4
direct
0.000 0.000 0.000
0.500 0.500 0.500
0.000 0.500 0.273
0.500 0.000 0.773
0.000 0.000 0.600
0.000 0.500 0.833
0.500 0.000 0.333
0.500 0.500 0.100
```

Computed properties:
The value obtained for the energy above the most stable polymorph in this dataset is 0.0 kJ per mole of atoms. The space group is Imm2 (44). The calculation puts the uncorrected formation energy at -0.24 eV per atom.



First-principles (PBE) data for a geometry-optimized BaMo4P structure, as listed in Alexandria via LeMat-Bulk.

```
BaMo4P
1.0
0.000 3.884 3.884
3.884 0.000 3.884
3.884 3.884 0.000
Ba Mo P
1 4 1
direct
0.000 0.000 0.000
0.138 0.621 0.621
0.621 0.138 0.621
0.621 0.621 0.138
0.621 0.621 0.621
0.250 0.250 0.250
```

Computed properties:
The space group is F-43m (216). The formation energy from the elements is 564.6 kJ/mol of formula units.



First-principles (PBE) data for a geometry-optimized Ba6H3N2O structure, as listed in Alexandria via LeMat-Bulk.

```
Ba6H3N2O
1.0
3.476 -6.022 0.000
3.476 6.022 0.000
-2.318 0.000 6.865
Ba H N O
6 3 2 1
direct
0.090 0.426 0.777
0.238 0.238 0.223
0.426 0.090 0.777
0.574 0.910 0.223
0.762 0.762 0.777
0.910 0.574 0.223
0.000 0.000 0.500
0.328 0.672 0.500
0.672 0.328 0.500
0.166 0.834 0.000
0.834 0.166 0.000
0.500 0.500 0.000
```

Computed properties:
The space group is C2/m (12).



First-principles (PBE) data for a geometry-optimized GePBr structure, as listed in Alexandria via LeMat-Bulk.

```
GePBr
1.0
3.791 0.000 0.000
0.000 2.672 0.000
-0.425 0.000 7.451
Ge P Br
1 1 1
direct
0.000 0.000 0.000
0.515 0.000 0.199
0.211 0.000 0.646
```

Computed properties:
The value obtained for the energy above the most stable polymorph in this dataset is 36.0 kJ per mole of atoms. The space group is Pm (6). The calculation puts the uncorrected formation energy at 0.17 eV per atom.



First-principles (PBE) data for a geometry-optimized K3SrTl structure, as listed in Alexandria via LeMat-Bulk.

```
K3SrTl
1.0
7.600 0.000 0.000
0.000 7.600 0.000
0.000 0.000 7.600
K Sr Tl
3 1 1
direct
0.000 0.000 0.500
0.000 0.500 0.000
0.500 0.000 0.000
0.000 0.000 0.000
0.500 0.500 0.500
```

Computed properties:
The value obtained for the energy above the most stable polymorph in this dataset is 38.8 kJ per mole of atoms. The space group is Pm-3m (221). The formation energy from the elements is 279.0 kJ/mol of formula units.



First-principles (PBE) data for a geometry-optimized Sc2TiAl3 structure, as listed in Alexandria via LeMat-Bulk.

```
Sc2TiAl3
1.0
5.516 0.000 0.000
-2.758 4.777 0.000
0.000 0.000 8.622
Sc Ti Al
4 2 6
direct
0.333 0.667 0.051
0.333 0.667 0.449
0.667 0.333 0.551
0.667 0.333 0.949
0.000 0.000 0.000
0.000 0.000 0.500
0.172 0.343 0.750
0.172 0.828 0.750
0.343 0.172 0.250
0.657 0.828 0.750
0.828 0.172 0.250
0.828 0.657 0.250
```

Computed properties:
The value obtained for the energy above the most stable polymorph in this dataset is 0.0 kJ per mole of atoms. The space group is P6_3/mmc (194). The formation energy from the elements is -225.7 kJ/mol of formula units.



First-principles (PBE) data for a geometry-optimized LaTaIn2 structure, as listed in Alexandria via LeMat-Bulk.

```
LaTaIn2
1.0
6.517 0.000 0.000
0.000 9.240 0.000
0.000 0.000 3.217
La Ta In
2 2 4
direct
0.000 0.000 0.000
0.500 0.500 0.000
0.000 0.500 0.000
0.500 0.000 0.000
0.250 0.250 0.500
0.250 0.750 0.500
0.750 0.250 0.500
0.750 0.750 0.500
```

Computed properties:
The space group is Cmmm (65). The formation energy from the elements is 62.2 kJ/mol of formula units.



First-principles (PBE) data for a geometry-optimized CeYZnPt structure, as listed in Alexandria via LeMat-Bulk.

```
CeYZnPt
1.0
7.142 0.000 0.000
0.000 7.142 0.000
0.000 0.000 7.142
Ce Y Zn Pt
4 4 4 4
direct
0.000 0.000 0.000
0.000 0.500 0.500
0.500 0.000 0.500
0.500 0.500 0.000
0.000 0.000 0.500
0.000 0.500 0.000
0.500 0.000 0.000
0.500 0.500 0.500
0.250 0.250 0.750
0.250 0.750 0.250
0.750 0.250 0.250
0.750 0.750 0.750
0.250 0.250 0.250
0.250 0.750 0.750
0.750 0.250 0.750
0.750 0.750 0.250
```

Computed properties:
The space group is F-43m (216). The formation energy from the elements is -254.8 kJ/mol of formula units.



First-principles (PBE) data for a geometry-optimized NdSc2Cd structure, as listed in Alexandria via LeMat-Bulk.

```
NdSc2Cd
1.0
3.455 0.000 0.000
0.000 3.455 0.000
0.000 0.000 8.659
Nd Sc Cd
1 2 1
direct
0.000 0.000 0.000
0.500 0.500 0.284
0.500 0.500 0.716
0.000 0.000 0.500
```

Computed properties:
The value obtained for the energy above the most stable polymorph in this dataset is 0.0 kJ per mole of atoms. The space group is P4/mmm (123). The formation energy from the elements is -43.3 kJ/mol of formula units.



First-principles (PBE) data for a geometry-optimized BeRu structure, as listed in Alexandria via LeMat-Bulk.

```
BeRu
1.0
3.265 0.000 0.000
-1.632 2.827 0.000
0.000 0.000 9.739
Be Ru
4 4
direct
0.000 0.000 0.250
0.000 0.000 0.750
0.333 0.667 0.250
0.667 0.333 0.750
0.333 0.667 0.605
0.333 0.667 0.895
0.667 0.333 0.105
0.667 0.333 0.395
```

Computed properties:
The space group is P6_3/mmc (194). The formation energy from the elements is 28.9 kJ/mol of formula units.



First-principles (PBE) data for a geometry-optimized Ca2Pr2Ag3 structure, as listed in Alexandria via LeMat-Bulk.

```
Ca2Pr2Ag3
1.0
9.092 0.000 0.000
0.000 5.240 0.000
-3.009 0.000 8.591
Ca Pr Ag
4 4 6
direct
0.125 0.000 0.375
0.375 0.500 0.625
0.625 0.500 0.375
0.875 0.000 0.625
0.126 0.500 0.877
0.374 0.000 0.123
0.626 0.000 0.877
0.874 0.500 0.123
0.000 0.500 0.500
0.248 0.500 0.246
0.252 0.000 0.754
0.500 0.000 0.500
0.748 0.000 0.246
0.752 0.500 0.754
```

Computed properties:
The space group is C2/m (12). The formation energy from the elements is -110.1 kJ/mol of formula units.



First-principles (PBE) data for a geometry-optimized NaY2Br2 structure, as listed in Alexandria via LeMat-Bulk.

```
NaY2Br2
1.0
4.573 0.000 0.000
0.000 4.573 0.000
0.000 0.000 15.071
Na Y Br
2 4 4
direct
0.000 0.000 0.000
0.500 0.500 0.500
0.000 0.500 0.250
0.000 0.500 0.750
0.500 0.000 0.250
0.500 0.000 0.750
0.000 0.000 0.387
0.000 0.000 0.613
0.500 0.500 0.113
0.500 0.500 0.887
```

Computed properties:
The value obtained for the energy above the most stable polymorph in this dataset is 0.0 kJ per mole of atoms. The space group is I4/mmm (139). The calculation puts the uncorrected formation energy at -0.61 eV per atom.



First-principles (PBE) data for a geometry-optimized NaLi4As2 structure, as listed in Alexandria via LeMat-Bulk.

```
NaLi4As2
1.0
7.610 0.000 0.000
0.000 7.610 0.000
0.000 0.000 4.398
Na Li As
2 8 4
direct
0.000 0.000 0.000
0.500 0.500 0.500
0.104 0.342 0.500
0.158 0.604 0.000
0.342 0.104 0.500
0.396 0.842 0.000
0.604 0.158 0.000
0.658 0.896 0.500
0.842 0.396 0.000
0.896 0.658 0.500
0.226 0.774 0.500
0.274 0.274 0.000
0.726 0.726 0.000
0.774 0.226 0.500
```

Computed properties:
The space group is P4_2/mnm (136). The formation energy from the elements is -347.8 kJ/mol of formula units.



First-principles (PBE) data for a geometry-optimized PuSc4Al2 structure, as listed in Alexandria via LeMat-Bulk.

```
PuSc4Al2
1.0
2.485 1.435 7.370
-2.485 1.435 7.370
0.000 -2.869 7.370
Pu Sc Al
1 4 2
direct
0.000 0.000 0.000
0.137 0.137 0.137
0.409 0.409 0.409
0.591 0.591 0.591
0.863 0.863 0.863
0.268 0.268 0.268
0.732 0.732 0.732
```

Computed properties:
The space group is R-3m (166). The formation energy from the elements is -117.4 kJ/mol of formula units.



First-principles (PBE) data for a geometry-optimized BaSbCl2 structure, as listed in Alexandria via LeMat-Bulk.

```
BaSbCl2
1.0
4.086 0.000 0.000
0.000 4.624 0.000
0.000 0.000 13.091
Ba Sb Cl
2 2 4
direct
0.000 0.000 0.000
0.500 0.500 0.500
0.000 0.500 0.226
0.500 0.000 0.726
0.000 0.000 0.462
0.000 0.500 0.699
0.500 0.000 0.199
0.500 0.500 0.962
```

Computed properties:
The value obtained for the energy above the most stable polymorph in this dataset is 9.0 kJ per mole of atoms. The space group is Imm2 (44). The calculation puts the uncorrected formation energy at -1.21 eV per atom.



First-principles (PBE) data for a geometry-optimized LiCoP2 structure, as listed in Alexandria via LeMat-Bulk.

```
LiCoP2
1.0
2.955 0.000 0.000
-1.477 2.559 0.000
0.000 0.000 21.348
Li Co P
3 3 6
direct
0.000 0.000 0.000
0.333 0.667 0.667
0.667 0.333 0.333
0.000 0.000 0.500
0.333 0.667 0.167
0.667 0.333 0.833
0.000 0.000 0.238
0.000 0.000 0.762
0.333 0.667 0.429
0.333 0.667 0.904
0.667 0.333 0.096
0.667 0.333 0.571
```

Computed properties:
The value obtained for the energy above the most stable polymorph in this dataset is 10.7 kJ per mole of atoms. The space group is R-3m (166). The formation energy from the elements is -109.8 kJ/mol of formula units.



First-principles (PBE) data for a geometry-optimized KTc2Rh structure, as listed in Alexandria via LeMat-Bulk.

```
KTc2Rh
1.0
2.909 0.000 0.000
0.000 2.909 0.000
0.000 0.000 9.068
K Tc Rh
1 2 1
direct
0.000 0.000 0.000
0.000 0.000 0.490
0.500 0.500 0.657
0.500 0.500 0.289
```

Computed properties:
The value obtained for the energy above the most stable polymorph in this dataset is 3.1 kJ per mole of atoms. The space group is P4mm (99). The formation energy from the elements is 229.6 kJ/mol of formula units.



First-principles (PBE) data for a geometry-optimized NbOsW structure, as listed in Alexandria via LeMat-Bulk.

```
NbOsW
1.0
3.192 0.000 0.000
0.000 3.192 0.000
0.000 0.000 9.578
Nb Os W
2 2 2
direct
0.000 0.000 0.000
0.500 0.500 0.500
0.000 0.000 0.330
0.500 0.500 0.830
0.000 0.000 0.666
0.500 0.500 0.166
```

Computed properties:
The value obtained for the energy above the most stable polymorph in this dataset is 0.0 kJ per mole of atoms. The space group is I4mm (107). The formation energy from the elements is 18.7 kJ/mol of formula units.



Q: Which E values were calculated for the entries above? A: -25.453 -15.029 -28.109 -44.805 -52.535 -11.181 -4.449 -34.125 -21.613 -22.353 -18.795 -12.702 -23.257 -20.632 -21.878 -48.360 -14.567 -20.977 -26.801 -34.059, in eV/f.u..
Q: Which calculated density values were calculated for the entries above? A: 1.92 9.55 8.37 7.82 5.03 4.04 1.55 3.20 9.42 8.93 5.57 8.13 5.56 3.80 2.62 5.03 4.43 3.94 7.31 15.89, in g cm⁻³.